No. 1
## Mg2HgRh (PBE)

Data for an optimized crystal structure of Mg2HgRh.

Properties
The spin magnetization comes out at 0.00 Bohr magnetons per cell. Its mass density is 8.086 g/cm3. Its density of states at the Fermi level is 1.50 states/eV/cell. Its symmetry is Pmmm. Its energy of formation from the pure elements is -0.398 eV per atom.

a b c (Å): 3.190 3.242 6.992
angles (deg): 90.00 90.00 90.00
Fractional positions:
Mg1 0.000 0.000 0.209
Mg2 0.000 0.000 0.791
Hg1 0.500 0.500 0.500
Rh1 0.500 0.500 0.000

---

No. 2
## SrCa2LaAg4 (PBE)

Data for an optimized crystal structure of SrCa2LaAg4.

Properties
The spin magnetization comes out at 0.00 Bohr magnetons per cell. Its mass density is 5.598 g/cm3. Its density of states at the Fermi level is 5.43 states/eV/cell. Its symmetry is R-3m. Its energy of formation from the pure elements is -0.297 eV per atom.

a b c (Å): 9.303 9.303 9.303
angles (deg): 33.54 33.54 33.54
Fractional positions:
Sr1 0.000 0.000 0.000
Ca1 0.250 0.250 0.250
Ca2 0.750 0.750 0.750
La1 0.500 0.500 0.500
Ag1 0.128 0.128 0.128
Ag2 0.378 0.378 0.378
Ag3 0.622 0.622 0.622
Ag4 0.872 0.872 0.872

---

No. 3
## YSnIN2 (PBE)

Data for an optimized crystal structure of YSnIN2.

Properties
The spin magnetization comes out at 0.00 Bohr magnetons per cell. As for the formation energy (no corrections): 795 meV per atom. For the relative energy among the computed polymorphs, the calculation gives 168 meV per atom. Its mass density is 5.797 g/cm3. Its density of states at the Fermi level is 2.64 states/eV/cell. Its symmetry is P4/mmm.

a b c (Å): 4.290 4.290 5.644
angles (deg): 90.00 90.00 90.00
Fractional positions:
Y1 0.000 0.000 0.000
Sn1 0.500 0.500 0.500
I1 0.500 0.500 0.000
N1 0.000 0.500 0.500
N2 0.500 0.000 0.500

---

No. 4
## V4SbTe8 (PBE)

Data for an optimized crystal structure of V4SbTe8.

Properties
The spin magnetization comes out at 7.29 Bohr magnetons per cell. As for the formation energy (no corrections): -259 meV per atom. Its mass density is 6.025 g/cm3. Its density of states at the Fermi level is 10.82 states/eV/cell. Its symmetry is F-43m.

a b c (Å): 8.066 8.066 8.066
angles (deg): 60.00 60.00 60.00
Fractional positions:
V1 0.392 0.392 0.392
V2 0.392 0.392 0.823
V3 0.392 0.823 0.392
V4 0.823 0.392 0.392
Sb1 0.000 0.000 0.000
Te1 0.118 0.627 0.627
Te2 0.145 0.145 0.145
Te3 0.145 0.145 0.564
Te4 0.145 0.564 0.145
Te5 0.564 0.145 0.145
Te6 0.627 0.118 0.627
Te7 0.627 0.627 0.118
Te8 0.627 0.627 0.627